1.
Here is crystalline AlMoCl at its relaxed geometry from Alexandria. Energies are from PBE.

extended XYZ file:
```
3
Lattice="-1.5176 1.5176 6.0240 1.5176 -1.5176 6.0240 1.5176 1.5176 -6.0240" Properties=species:S:1:pos:R:3 pbc="T T T"
Al 0.0000 0.0000 0.0000
Mo 0.0000 0.0000 4.4918
Cl 0.0000 0.0000 8.9013
```

## Properties
The value obtained for the energy relative to the elements, uncorrected is 189 meV per atom. The calculation puts the density at 4.74 g/cm³. The value obtained for the total energy is -5.285 eV/atom. As for the volume: 18.5 Å³ per atom.

=====

2.
Here is crystalline AlMoCl at its relaxed geometry from Alexandria. Energies are from PBE.

extended XYZ file:
```
3
Lattice="4.4231 0.0000 0.0000 -2.2115 3.8305 0.0000 0.0000 0.0000 2.8800" Properties=species:S:1:pos:R:3 pbc="T T T"
Al 0.0000 0.0000 0.0000
Mo 0.0000 2.5537 1.4400
Cl 2.2115 1.2768 1.4400
```

## Properties
The value obtained for the energy relative to the elements, uncorrected is 341 meV per atom. The calculation puts the density at 5.39 g/cm³. The value obtained for the total energy is -5.133 eV/atom. As for the volume: 16.3 Å³ per atom.

=====

3.
Here is crystalline AlMoCl at its relaxed geometry from Alexandria. Energies are from PBE.

extended XYZ file:
```
3
Lattice="-1.4125 1.9135 4.5933 1.4125 -1.9135 4.5933 1.4125 1.9135 -4.5933" Properties=species:S:1:pos:R:3 pbc="T T T"
Al 0.0000 0.0000 0.0000
Mo 0.0000 0.0000 2.9660
Cl 0.0000 0.0000 6.4731
```

## Properties
The value obtained for the energy relative to the elements, uncorrected is 358 meV per atom. The calculation puts the density at 5.30 g/cm³. The value obtained for the total energy is -5.116 eV/atom. As for the volume: 16.6 Å³ per atom.

=====

Question: energy relative to the elements, uncorrected of number 1 (AlMoCl)?
Answer: 189 meV per atom

=====

Question: energy relative to the elements, uncorrected of number 2 (AlMoCl)?
Answer: 341 meV per atom

=====

Question: energy relative to the elements, uncorrected of number 3 (AlMoCl)?
Answer: 358 meV per atom

=====

Question: Among the records above, which one has the lowest energy relative to the elements, uncorrected?
Answer: number 1